Model 1:
Here is a relaxed structure of Tb3Pr2Er3 from Alexandria. Energies are from PBE.

## Properties
- volume (Å³/cell) = 517.3

Geometry as POSCAR:
```
Tb3Pr2Er3
1.0
23.921 0.000 0.000
0.000 3.598 0.000
-1.617 0.000 6.011
Tb Pr Er
6 4 6
Cartesian
0.000 0.000 0.000
1.665 0.000 4.747
8.678 1.799 1.264
11.960 1.799 0.000
13.626 1.799 4.747
20.638 0.000 1.264
5.568 0.000 1.505
4.775 1.799 4.507
16.736 0.000 4.507
17.528 1.799 1.505
-0.809 1.799 3.006
2.471 1.799 1.744
7.872 0.000 4.268
11.152 0.000 3.006
14.431 0.000 1.744
19.833 1.799 4.268
```

Model 2:
Here is a relaxed structure of Tb3Pr2Er3 from Alexandria. Energies are from PBE.

## Properties
- volume (Å³/cell) = 533.7

Geometry as POSCAR:
```
Tb3Pr2Er3
1.0
2.798 -5.924 0.000
2.798 5.924 0.000
0.000 0.000 16.100
Tb Pr Er
6 4 6
Cartesian
2.798 5.439 12.075
2.798 4.580 0.848
2.798 4.580 7.202
2.798 -4.580 8.898
2.798 -4.580 15.253
2.798 -5.439 4.025
2.798 2.601 10.108
2.798 2.601 14.043
2.798 -2.601 2.058
2.798 -2.601 5.992
2.798 3.050 4.025
2.798 0.979 1.389
2.798 0.979 6.661
2.798 -0.979 9.440
2.798 -0.979 14.711
2.798 -3.050 12.075
```

Computed stability ranking, most favorable first: model 1, model 2

Model 1:
Here is a relaxed structure of Tb9PrEr2 from Alexandria. Energies are from PBE.

## Properties
- volume (Å³/cell) = 384.1

Geometry as POSCAR:
```
Tb9PrEr2
1.0
5.039 0.000 0.000
0.000 5.039 0.000
0.000 0.000 15.126
Tb Pr Er
9 1 2
Cartesian
0.000 0.000 0.000
0.000 0.000 5.075
0.000 0.000 10.051
0.000 2.520 2.567
0.000 2.520 7.563
0.000 2.520 12.559
2.520 0.000 2.567
2.520 0.000 7.563
2.520 0.000 12.559
2.520 2.520 0.000
2.520 2.520 5.066
2.520 2.520 10.061
```

Model 2:
Here is a relaxed structure of Tb9PrEr2 from Alexandria. Energies are from PBE.

## Properties
- volume (Å³/cell) = 387.0

Geometry as POSCAR:
```
Tb9PrEr2
1.0
11.270 0.000 0.000
-5.635 9.760 0.000
0.000 0.000 3.518
Tb Pr Er
9 1 2
Cartesian
-2.818 4.880 0.000
0.000 3.481 1.759
-2.620 8.020 1.759
3.015 1.741 1.759
5.635 0.000 0.000
2.818 4.880 0.000
2.620 8.020 1.759
8.255 1.741 1.759
5.635 6.279 1.759
0.000 0.000 0.000
0.000 6.507 0.000
5.635 3.253 0.000
```

Computed stability ranking, most favorable first: model 1, model 2

Model 1:
Here is a relaxed structure of Tb2Pr12Er5 from Alexandria. Energies are from PBE.

## Properties
- volume (Å³/cell) = 660.1

Geometry as POSCAR:
```
Tb2Pr12Er5
1.0
8.005 -4.690 0.000
8.005 4.690 0.000
-0.262 0.000 8.792
Tb Pr Er
2 12 5
Cartesian
8.005 3.092 0.000
8.005 -3.092 0.000
0.919 0.000 3.007
5.871 2.845 2.843
5.364 1.710 6.715
9.877 2.845 5.948
6.636 0.000 1.024
10.384 1.710 2.077
5.364 -1.710 6.715
9.113 0.000 7.768
5.871 -2.845 2.843
10.384 -1.710 2.077
9.877 -2.845 5.948
14.830 0.000 5.784
3.215 0.000 0.243
4.206 0.000 3.799
7.874 0.000 4.396
11.542 0.000 4.992
12.533 0.000 8.548
```

Model 2:
Here is a relaxed structure of Tb2Pr12Er5 from Alexandria. Energies are from PBE.

## Properties
- volume (Å³/cell) = 663.1

Geometry as POSCAR:
```
Tb2Pr12Er5
1.0
7.597 -5.359 0.000
7.597 5.359 0.000
-0.589 0.000 8.144
Tb Pr Er
2 12 5
Cartesian
7.597 2.906 0.000
7.597 -2.906 0.000
0.433 0.000 5.820
4.686 2.386 1.695
5.611 2.909 5.007
8.993 2.909 3.137
5.083 0.000 7.272
9.918 2.386 6.448
4.686 -2.386 1.695
9.521 0.000 0.871
5.611 -2.909 5.007
8.993 -2.909 3.137
9.918 -2.386 6.448
14.171 0.000 2.324
2.314 0.000 0.812
3.631 0.000 4.159
7.302 0.000 4.072
10.973 0.000 3.985
12.291 0.000 7.331
```

Computed stability ranking, most favorable first: model 1, model 2

Model 1:
Here is a relaxed structure of TbPr2Er5 from Alexandria. Energies are from PBE.

## Properties
- volume (Å³/cell) = 516.5

Geometry as POSCAR:
```
TbPr2Er5
1.0
8.093 -4.937 0.000
8.093 4.937 0.000
-1.032 0.000 6.464
Tb Pr Er
2 4 10
Cartesian
4.046 2.469 0.000
3.530 -2.469 3.232
5.897 2.511 5.702
8.741 2.511 3.994
6.413 -2.511 2.470
9.257 -2.511 0.762
0.957 0.872 4.190
1.473 -0.872 0.958
4.395 0.867 3.057
3.879 -0.867 6.289
7.835 0.591 1.616
7.319 -0.591 4.848
11.274 0.867 0.175
10.758 -0.867 3.407
13.680 0.872 5.506
14.196 -0.872 2.274
```

Model 2:
Here is a relaxed structure of TbPr2Er5 from Alexandria. Energies are from PBE.

## Properties
- volume (Å³/cell) = 512.2

Geometry as POSCAR:
```
TbPr2Er5
1.0
7.126 0.000 0.000
0.000 14.257 0.000
0.000 0.000 5.042
Tb Pr Er
2 4 10
Cartesian
0.000 0.000 0.000
3.563 7.128 0.000
1.769 5.343 2.521
1.794 12.471 2.521
5.332 1.786 2.521
5.357 8.914 2.521
0.000 7.128 0.000
0.016 10.689 0.000
1.768 1.783 2.521
1.794 8.911 2.521
3.547 3.560 0.000
3.563 0.000 0.000
3.579 10.696 0.000
5.331 5.346 2.521
5.357 12.474 2.521
7.110 3.568 0.000
```

Computed stability ranking, most favorable first: model 2, model 1

Model 1:
Here is a relaxed structure of Tb2Pr7Er from Alexandria. Energies are from PBE.

## Properties
- volume (Å³/cell) = 367.3

Geometry as POSCAR:
```
Tb2Pr7Er
1.0
6.097 -8.487 0.000
6.097 8.487 0.000
0.000 0.000 3.549
Tb Pr Er
2 7 1
Cartesian
6.097 5.678 0.000
6.097 -5.678 0.000
3.094 2.170 0.000
6.097 3.038 1.774
3.094 -2.170 0.000
6.097 0.000 0.000
9.101 2.170 0.000
6.097 -3.038 1.774
9.101 -2.170 0.000
0.000 0.000 1.774
```

Model 2:
Here is a relaxed structure of Tb2Pr7Er from Alexandria. Energies are from PBE.

## Properties
- volume (Å³/cell) = 420.5

Geometry as POSCAR:
```
Tb2Pr7Er
1.0
4.444 -8.376 0.000
4.444 8.376 0.000
0.000 0.000 5.648
Tb Pr Er
2 7 1
Cartesian
4.444 4.935 0.000
4.444 -4.935 0.000
0.000 0.000 0.000
2.846 1.876 0.000
4.444 3.652 2.824
2.846 -1.876 0.000
6.042 1.876 0.000
4.444 -3.652 2.824
6.042 -1.876 0.000
4.444 0.000 2.824
```

Computed stability ranking, most favorable first: model 1, model 2

Model 1:
Here is a relaxed structure of Tb12Pr7Er from Alexandria. Energies are from PBE.

## Properties
- volume (Å³/cell) = 687.7

Geometry as POSCAR:
```
Tb12Pr7Er
1.0
6.038 3.486 5.445
-6.038 3.486 5.445
0.000 -6.972 5.445
Tb Pr Er
12 7 1
Cartesian
-2.182 -4.886 6.820
-5.323 -0.554 9.515
-3.148 0.928 7.251
-2.378 -2.262 9.084
0.770 -3.190 7.251
-3.141 4.333 6.820
3.141 -4.333 9.515
-0.770 3.190 9.084
2.378 2.262 7.251
3.148 -0.928 9.084
5.323 0.554 6.820
2.182 4.886 9.515
0.000 0.000 0.000
-1.473 -1.355 4.701
-0.437 1.953 4.701
1.910 -0.598 4.701
-1.910 0.598 11.634
0.437 -1.953 11.634
1.473 1.355 11.634
0.000 0.000 8.168
```

Model 2:
Here is a relaxed structure of Tb12Pr7Er from Alexandria. Energies are from PBE.

## Properties
- volume (Å³/cell) = 741.6

Geometry as POSCAR:
```
Tb12Pr7Er
1.0
-5.702 5.702 5.702
5.702 -5.702 5.702
5.702 5.702 -5.702
Tb Pr Er
12 7 1
Cartesian
5.702 2.910 -2.902
2.801 0.000 2.792
8.604 0.000 2.792
2.792 2.801 0.000
2.910 -2.902 5.702
0.000 2.792 2.801
5.702 2.910 2.902
2.792 8.604 0.000
2.910 2.902 5.702
-2.902 5.702 2.910
2.902 5.702 2.910
0.000 2.792 8.604
2.851 2.851 -2.851
2.851 -2.851 2.851
5.702 0.000 0.000
-2.851 2.851 2.851
0.000 5.702 0.000
0.000 0.000 5.702
2.851 2.851 2.851
0.000 0.000 0.000
```

Computed stability ranking, most favorable first: model 1, model 2